Entry 1:
DFT (PBE-GGA) results for crystalline CsPuMoN3 at its relaxed geometry.

Lattice parameters (Å, degrees): 3.580 8.346 8.338 105.76 90.00 102.39
Sites, in units of the cell vectors:
1 Mo 0.980 0.959 0.338
2 Mo 0.020 0.041 0.662
3 N 0.197 0.394 0.399
4 N 0.137 0.275 0.711
5 N 0.524 0.048 0.309
6 N 0.863 0.725 0.289
7 N 0.803 0.606 0.601
8 N 0.476 0.952 0.691
9 Pu 0.664 0.328 0.526
10 Pu 0.336 0.672 0.474
11 Cs 0.646 0.292 0.066
12 Cs 0.354 0.708 0.934

Summary:
- Total moment: 7.5 μB per cell
- Energy: -9.053 eV per atom


Entry 2:
DFT (PBE-GGA) results for crystalline CsMoSN2 at its relaxed geometry.

Lattice parameters (Å, degrees): 4.172 4.172 6.437 90.00 90.00 90.00
Sites, in units of the cell vectors:
1 S 0.000 0.000 0.500
2 Cs 0.000 0.000 0.000
3 Mo 0.500 0.500 0.500
4 N 0.000 0.500 0.000
5 N 0.500 0.000 0.000

Summary:
- Total moment: 3.0 μB per cell
- Energy: -3.737 eV per atom


Entry 3:
DFT (PBE-GGA) results for crystalline CsMoSe2N at its relaxed geometry.

Lattice parameters (Å, degrees): 5.903 5.903 4.382 90.00 90.00 90.00
Sites, in units of the cell vectors:
1 Se 0.500 0.000 0.000
2 Se 0.000 0.500 0.000
3 N 0.000 0.000 0.500
4 Mo 0.500 0.500 0.500
5 Cs 0.000 0.000 0.000

Summary:
- Total moment: 4.6 μB per cell
- E above lowest polymorph: 12.02 eV/f.u.


Entry 4:
DFT (PBE-GGA) results for crystalline CsMoSeN2 at its relaxed geometry.

Lattice parameters (Å, degrees): 4.162 4.162 6.442 90.00 90.00 90.00
Sites, in units of the cell vectors:
1 N 0.500 0.000 0.000
2 N 0.000 0.500 0.000
3 Cs 0.000 0.000 0.000
4 Mo 0.500 0.500 0.500
5 Se 0.000 0.000 0.500

Summary:
- Total moment: 0.1 μB per cell
- E above lowest polymorph: 12.44 eV/f.u.


Entry 5:
DFT (PBE-GGA) results for crystalline CsMoSeN2 at its relaxed geometry.

Lattice parameters (Å, degrees): 4.186 4.186 5.188 90.00 90.00 90.00
Sites, in units of the cell vectors:
1 Cs 0.500 0.500 0.500
2 N 0.000 0.500 0.000
3 N 0.500 0.000 0.000
4 Se 0.000 0.000 0.500
5 Mo 0.000 0.000 0.000

Summary:
- Total moment: 0.0 μB per cell
- E above lowest polymorph: 0.00 eV/f.u.


Entry 6:
DFT (PBE-GGA) results for crystalline CsMoSe2N at its relaxed geometry.

Lattice parameters (Å, degrees): 5.338 5.338 3.929 90.00 90.00 90.00
Sites, in units of the cell vectors:
1 Cs 0.500 0.500 0.500
2 Se 0.500 0.000 0.000
3 Se 0.000 0.500 0.000
4 Mo 0.000 0.000 0.000
5 N 0.000 0.000 0.500

Summary:
- Total moment: 0.0 μB per cell
- E above lowest polymorph: 0.00 eV/f.u.


Entry 7:
DFT (PBE-GGA) results for crystalline Cs2SiMoN at its relaxed geometry.

Lattice parameters (Å, degrees): 6.705 3.922 6.705 90.00 90.00 90.00
Sites, in units of the cell vectors:
1 Cs 0.000 0.000 0.500
2 Cs 0.500 0.000 0.000
3 Si 0.500 0.500 0.500
4 Mo 0.000 0.500 0.000
5 N 0.000 0.000 0.000

Summary:
- Total moment: 1.9 μB per cell
- Energy: -4.477 eV per atom


Entry 8:
DFT (PBE-GGA) results for crystalline CsSm2Mo2N6 at its relaxed geometry.

Lattice parameters (Å, degrees): 6.768 6.826 7.134 117.80 89.99 60.31
Sites, in units of the cell vectors:
1 N 0.589 0.389 0.142
2 N 0.078 0.846 0.596
3 N 0.979 0.610 0.857
4 N 0.021 0.390 0.143
5 N 0.411 0.611 0.858
6 N 0.922 0.154 0.404
7 Sm 0.175 0.650 0.209
8 Sm 0.825 0.350 0.791
9 Mo 0.123 0.756 0.808
10 Mo 0.877 0.244 0.192
11 Cs 0.500 0.000 0.500

Summary:
- Total moment: 1.0 μB per cell
- Energy: -7.949 eV per atom


Entry 9:
DFT (PBE-GGA) results for crystalline CsTeMoN2 at its relaxed geometry.

Lattice parameters (Å, degrees): 4.280 4.280 7.376 90.00 90.00 90.00
Sites, in units of the cell vectors:
1 N 0.000 0.500 0.000
2 N 0.500 0.000 0.000
3 Mo 0.500 0.500 0.500
4 Te 0.000 0.000 0.500
5 Cs 0.000 0.000 0.000

Summary:
- Total moment: 4.1 μB per cell
- E above lowest polymorph: 9.62 eV/f.u.


Entry 10:
DFT (PBE-GGA) results for crystalline CsTeMoN2 at its relaxed geometry.

Lattice parameters (Å, degrees): 4.283 4.283 5.475 90.00 90.00 90.00
Sites, in units of the cell vectors:
1 Cs 0.500 0.500 0.500
2 Mo 0.000 0.000 0.000
3 N 0.500 0.000 0.000
4 N 0.000 0.500 0.000
5 Te 0.000 0.000 0.500

Summary:
- Total moment: 0.0 μB per cell
- E above lowest polymorph: 0.00 eV/f.u.


Entry 11:
DFT (PBE-GGA) results for crystalline Cs2ThMo2N6 at its relaxed geometry.

Lattice parameters (Å, degrees): 6.543 6.546 7.542 115.74 90.00 119.98
Sites, in units of the cell vectors:
1 N 0.747 0.494 0.709
2 N 0.748 0.965 0.711
3 N 0.783 0.035 0.289
4 N 0.252 0.035 0.289
5 N 0.217 0.965 0.711
6 N 0.253 0.506 0.291
7 Mo 0.928 0.855 0.781
8 Mo 0.072 0.145 0.219
9 Cs 0.721 0.442 0.163
10 Cs 0.279 0.558 0.837
11 Th 0.500 0.000 0.500

Summary:
- Total moment: 2.1 μB per cell
- Energy: -7.640 eV per atom


Entry 12:
DFT (PBE-GGA) results for crystalline Cs2NaMo2 at its relaxed geometry.

Lattice parameters (Å, degrees): 11.408 11.408 3.649 90.00 90.00 90.00
Sites, in units of the cell vectors:
1 Mo 0.938 0.562 0.000
2 Mo 0.062 0.438 0.000
3 Mo 0.562 0.062 0.000
4 Mo 0.438 0.938 0.000
5 Cs 0.792 0.292 0.500
6 Cs 0.208 0.708 0.500
7 Cs 0.708 0.792 0.500
8 Cs 0.292 0.208 0.500
9 Na 0.500 0.500 0.000
10 Na 0.000 0.000 0.000

Summary:
- Total moment: 0.0 μB per cell
- E above lowest polymorph: 0.00 eV/f.u.
- Formation energy from the elements: 1.2815 eV per atom


Entry 13:
DFT (PBE-GGA) results for crystalline Cs3NaMo at its relaxed geometry.

Lattice parameters (Å, degrees): 7.564 7.564 7.564 90.00 90.00 90.00
Sites, in units of the cell vectors:
1 Cs 0.000 0.500 0.000
2 Cs 0.000 0.000 0.500
3 Cs 0.500 0.000 0.000
4 Mo 0.500 0.500 0.500
5 Na 0.000 0.000 0.000

Summary:
- Total moment: 5.1 μB per cell
- Formation energy from the elements: 1.1714 eV per atom


Entry 14:
DFT (PBE-GGA) results for crystalline Cs2NaMo at its relaxed geometry.

Lattice parameters (Å, degrees): 6.829 6.829 6.829 60.00 60.00 60.00
Sites, in units of the cell vectors:
1 Mo 0.500 0.500 0.500
2 Cs 0.250 0.250 0.250
3 Cs 0.750 0.750 0.750
4 Na 0.000 0.000 0.000

Summary:
- Total moment: 5.0 μB per cell
- Formation energy from the elements: 1.1816 eV per atom


Entry 15:
DFT (PBE-GGA) results for crystalline CsNaMo3 at its relaxed geometry.

Lattice parameters (Å, degrees): 4.990 4.990 4.990 90.00 90.00 90.00
Sites, in units of the cell vectors:
1 Mo 0.500 0.000 0.000
2 Mo 0.000 0.500 0.000
3 Mo 0.000 0.000 0.500
4 Cs 0.000 0.000 0.000
5 Na 0.500 0.500 0.500

Summary:
- Total moment: 0.1 μB per cell
- E above lowest polymorph: 0.00 eV/f.u.
- Formation energy from the elements: 3.0536 eV per atom


Entry 16:
DFT (PBE-GGA) results for crystalline Cs2NaMo2 at its relaxed geometry.

Lattice parameters (Å, degrees): 7.675 7.675 6.977 56.63 56.63 90.00
Sites, in units of the cell vectors:
1 Cs 0.250 0.750 0.500
2 Cs 0.750 0.250 0.500
3 Mo 0.614 0.614 0.773
4 Mo 0.386 0.386 0.227
5 Na 0.000 0.000 0.000

Summary:
- Total moment: 0.0 μB per cell
- E above lowest polymorph: 0.26 eV/f.u.
- Formation energy from the elements: 1.3338 eV per atom


Entry 17:
DFT (PBE-GGA) results for crystalline CsNaMo3 at its relaxed geometry.

Lattice parameters (Å, degrees): 4.908 4.908 4.908 90.00 90.00 90.00
Sites, in units of the cell vectors:
1 Mo 0.000 0.500 0.000
2 Mo 0.000 0.000 0.500
3 Mo 0.500 0.000 0.000
4 Cs 0.500 0.500 0.500
5 Na 0.000 0.000 0.000

Summary:
- Total moment: 7.4 μB per cell
- E above lowest polymorph: 0.02 eV/f.u.
- Formation energy from the elements: 3.0571 eV per atom